PBE+U LaUVO6, optimized geometry; symmetry = P-31c (163); VASP energy = -0.32755 hartree per atom
1.0
5.4677 0.0000 0.0000
-2.7339 4.7352 0.0000
0.0000 0.0000 10.3703
La U V O
2 2 2 12
Direct
0.0000 0.0000 0.0000
0.0000 0.0000 0.5000
0.6667 0.3333 0.2500
0.3333 0.6667 0.7500
0.3333 0.6667 0.2500
0.6667 0.3333 0.7500
0.6387 0.6438 0.1430
0.0051 0.3613 0.1430
0.3613 0.0051 0.6430
0.9949 0.6387 0.8570
0.3562 0.3613 0.3570
0.0051 0.6438 0.3570
0.6438 0.0051 0.8570
0.6387 0.9949 0.3570
0.9949 0.3562 0.6430
0.3562 0.9949 0.1430
0.6438 0.6387 0.6430
0.3613 0.3562 0.8570